The following is a DFT calculation (GGA+U) of a relaxed structure of NiSb2F.

Structure (POSCAR):
```
NiSb2F
1.0
0.000 3.195 3.195
3.195 0.000 3.195
3.195 3.195 0.000
Ni Sb F
1 2 1
direct
0.500 0.500 0.500
0.250 0.250 0.250
0.750 0.750 0.750
0.000 0.000 0.000
```

Properties
The total energy comes out at -3.4318 eV per atom. The density of states at the Fermi level is 2.2 states/eV/cell. As for the symmetry: No. 225.